# 1
NaBeFeRe | OQMD | GGA-PBE | optimized geometry; calculated density = 9049 kg/m3; SG = F-43m; energy = -5.704 eV/atom; excess energy over the best structure of this formula in the dataset = 0.0000 eV/atom
1.0
0.837 -3.618 1.838
0.540 -0.162 4.105
-2.852 -1.816 2.395
Be Fe Re Na
1 1 1 1
direct
0.750 0.750 0.750
0.250 0.250 0.250
0.000 0.000 0.000
0.500 0.500 0.500



# 2
NdAs2 | OQMD | GGA-PBE | optimized geometry; calculated density = 7181 kg/m3; SG = Fd-3m; energy = -5.130 eV/atom
1.0
0.000 4.082 4.082
4.082 0.000 4.082
4.082 4.082 0.000
Nd As
2 4
direct
0.250 0.250 0.250
0.000 0.000 0.000
0.625 0.625 0.625
0.625 0.125 0.625
0.125 0.625 0.625
0.625 0.625 0.125



# 3
HfZr2Ni4Sb4 | OQMD | GGA-PBE | optimized geometry; calculated density = 8025 kg/m3; SG = I-42m; energy = -6.623 eV/atom
1.0
-3.046 3.046 6.038
3.046 -3.046 6.038
3.046 3.046 -6.038
Sb Zr Ni Hf
4 2 4 1
direct
0.500 0.000 0.500
0.738 0.738 0.000
0.000 0.500 0.500
0.262 0.262 0.000
0.750 0.250 0.500
0.250 0.750 0.500
0.888 0.367 0.000
0.633 0.633 0.521
0.367 0.888 0.000
0.112 0.112 0.479
0.000 0.000 0.000



# 4
ScNiAs2 | OQMD | GGA-PBE | optimized geometry; calculated density = 6249 kg/m3; SG = F-43m; energy = -5.509 eV/atom
1.0
2.284 1.318 3.729
-2.284 1.318 3.729
0.000 -2.637 3.729
Ni As Sc
1 2 1
direct
0.250 0.250 0.250
0.000 0.000 0.000
0.750 0.750 0.750
0.500 0.500 0.500



# 5
Cu15Te | OQMD | GGA-PBE | optimized geometry; calculated density = 6470 kg/m3; SG = Pccm; energy = -3.652 eV/atom; excess energy over the best structure of this formula in the dataset = 0.0030 eV/atom
1.0
7.262 0.000 0.000
0.000 41.476 0.000
0.000 0.000 3.684
Cu Te
60 4
direct
0.621 0.780 0.500
0.626 0.308 0.000
0.375 0.607 0.000
0.126 0.393 0.000
0.621 0.220 0.000
0.126 0.308 0.000
0.379 0.220 0.500
0.132 0.776 0.500
0.897 0.820 0.500
0.125 0.351 0.500
0.375 0.521 0.000
0.374 0.692 0.000
0.874 0.734 0.500
0.375 0.436 0.000
0.874 0.692 0.000
0.625 0.521 0.500
0.103 0.820 0.000
0.875 0.479 0.500
0.125 0.479 0.000
0.376 0.650 0.500
0.897 0.180 0.000
0.624 0.350 0.500
0.125 0.564 0.000
0.375 0.393 0.500
0.874 0.393 0.500
0.374 0.308 0.500
0.125 0.521 0.500
0.132 0.224 0.000
0.381 0.735 0.500
0.376 0.350 0.000
0.375 0.479 0.500
0.375 0.564 0.500
0.619 0.735 0.000
0.875 0.351 0.000
0.379 0.780 0.000
0.626 0.692 0.500
0.619 0.265 0.500
0.875 0.521 0.000
0.625 0.393 0.000
0.875 0.564 0.500
0.875 0.649 0.500
0.874 0.308 0.500
0.874 0.266 0.000
0.126 0.607 0.500
0.125 0.436 0.500
0.868 0.224 0.500
0.103 0.180 0.500
0.381 0.265 0.000
0.874 0.607 0.000
0.126 0.734 0.000
0.625 0.479 0.000
0.625 0.607 0.500
0.868 0.776 0.000
0.625 0.436 0.500
0.624 0.650 0.000
0.126 0.266 0.500
0.126 0.692 0.500
0.875 0.436 0.000
0.125 0.649 0.000
0.625 0.564 0.000
0.690 0.836 0.000
0.690 0.164 0.500
0.310 0.164 0.000
0.310 0.836 0.500



# 6
BaEr2S4 | OQMD | GGA-PBE | optimized geometry; calculated density = 5593 kg/m3; SG = Pnma; energy = -6.080 eV/atom
1.0
-4.810 2.491 10.991
2.077 -3.050 1.600
11.005 8.956 2.786
S Er Ba
16 8 4
direct
0.580 0.750 0.577
0.080 0.750 0.923
0.022 0.250 0.717
0.708 0.250 0.338
0.292 0.750 0.662
0.920 0.250 0.077
0.522 0.250 0.783
0.792 0.750 0.838
0.478 0.750 0.217
0.876 0.750 0.522
0.624 0.250 0.022
0.124 0.250 0.478
0.376 0.750 0.978
0.208 0.250 0.162
0.978 0.750 0.283
0.420 0.250 0.423
0.578 0.750 0.898
0.568 0.750 0.391
0.922 0.250 0.398
0.078 0.750 0.602
0.422 0.250 0.102
0.932 0.250 0.891
0.432 0.250 0.609
0.068 0.750 0.109
0.757 0.250 0.661
0.243 0.750 0.339
0.743 0.750 0.161
0.257 0.250 0.839